1.
Compound: ZrCS2N
Source: Alexandria via LeMat-Bulk
Functional: PBE
Structure: relaxed

Calculated values
The total energy is -5.419 eV per atom. The polymorph energy (0 for the lowest one) is 628 meV/atom.

Cell: 5.045 5.045 4.147 Å, 90.00 90.00 90.00°
Space group P4/mmm (No. 123)
One atom of each set of equivalent atoms:
Zr1 0.000 0.000 0.000
C1 0.500 0.500 0.500
S1 0.000 0.500 0.000
N1 0.000 0.000 0.500

2.
Compound: Zr6C2SN3
Source: Alexandria via LeMat-Bulk
Functional: PBE
Structure: relaxed

Calculated values
The total energy is -9.555 eV per atom.

Cell: 14.631 3.358 6.826 Å, 90.00 103.06 90.00°
Space group C2/m (No. 12)
One atom of each set of equivalent atoms:
Zr1 0.002 0.000 0.284
Zr2 0.169 0.500 0.579
Zr3 0.179 0.500 0.103
C1 0.167 0.000 0.333
S1 0.000 0.500 0.000
N1 0.000 0.500 0.500
N2 0.166 0.000 0.836

3.
Compound: SbCN3
Source: Alexandria via LeMat-Bulk
Functional: PBE
Structure: relaxed

Calculated values
The total energy is -5.459 eV per atom.

Cell: 3.484 3.484 3.484 Å, 90.00 90.00 90.00°
Space group Pm-3m (No. 221)
One atom of each set of equivalent atoms:
Sb1 0.000 0.000 0.000
C1 0.500 0.500 0.500
N1 0.000 0.500 0.500

4.
Compound: Sb3CN
Source: Alexandria via LeMat-Bulk
Functional: PBE
Structure: relaxed

Calculated values
The total energy is -4.255 eV per atom. The polymorph energy (0 for the lowest one) is 0 meV/atom.

Cell: 4.680 4.680 4.680 Å, 90.00 90.00 90.00°
Space group Pm-3m (No. 221)
One atom of each set of equivalent atoms:
Sb1 0.000 0.000 0.500
C1 0.500 0.500 0.500
N1 0.000 0.000 0.000

5.
Compound: SbCN2
Source: Alexandria via LeMat-Bulk
Functional: PBE
Structure: relaxed

Calculated values
The total energy is -6.218 eV per atom. The polymorph energy (0 for the lowest one) is 668 meV/atom.

Cell: 4.799 4.799 7.037 Å, 90.00 90.00 90.00°
Space group I-42d (No. 122)
One atom of each set of equivalent atoms:
Sb1 0.000 0.000 0.000
C1 0.000 0.000 0.500
N1 0.092 0.750 0.625

6.
Compound: SbCN2
Source: Alexandria via LeMat-Bulk
Functional: PBE
Structure: relaxed

Calculated values
The total energy is -6.886 eV per atom. The polymorph energy (0 for the lowest one) is 0 meV/atom.

Cell: 3.3363 3.3363 17.8641 Å, 90.00 90.00 120.00°
Space group R-3m (No. 166, hexagonal axes)
One atom of each set of equivalent atoms:
Sb1 0.0000 0.0000 0.0000
C1 0.0000 0.0000 0.5000
N1 0.0000 0.0000 0.4307

7.
Compound: SbCN3
Source: Alexandria via LeMat-Bulk
Functional: PBE
Structure: relaxed

Calculated values
The total energy is -4.677 eV per atom.

Cell: 4.044 4.044 4.044 Å, 90.00 90.00 90.00°
Space group Pm-3m (No. 221)
One atom of each set of equivalent atoms:
Sb1 0.000 0.000 0.000
C1 0.500 0.500 0.500
N1 0.000 0.000 0.500

8.
Compound: SbCN2
Source: Alexandria via LeMat-Bulk
Functional: PBE
Structure: relaxed

Calculated values
The total energy is -4.904 eV per atom. The polymorph energy (0 for the lowest one) is 1982 meV/atom.

Cell: 5.459 5.459 5.459 Å, 90.00 90.00 90.00°
Space group Fm-3m (No. 225)
One atom of each set of equivalent atoms:
Sb1 0.000 0.000 0.000
C1 0.000 0.000 0.500
N1 0.250 0.250 0.250

9.
Compound: SbCSeN2
Source: Alexandria via LeMat-Bulk
Functional: PBE
Structure: relaxed

Calculated values
The total energy is -4.208 eV per atom. The polymorph energy (0 for the lowest one) is 338 meV/atom.

Cell: 3.903 3.903 5.810 Å, 90.00 90.00 90.00°
Space group P4/mmm (No. 123)
One atom of each set of equivalent atoms:
Sb1 0.000 0.000 0.000
C1 0.500 0.500 0.500
Se1 0.000 0.000 0.500
N1 0.000 0.500 0.000

10.
Compound: SbCSeN2
Source: Alexandria via LeMat-Bulk
Functional: PBE
Structure: relaxed

Calculated values
The total energy is -4.546 eV per atom. The polymorph energy (0 for the lowest one) is 0 meV/atom.

Cell: 3.891 3.891 4.036 Å, 90.00 90.00 90.00°
Space group P4/mmm (No. 123)
One atom of each set of equivalent atoms:
Sb1 0.000 0.000 0.000
C1 0.500 0.500 0.500
Se1 0.500 0.500 0.000
N1 0.000 0.500 0.500

11.
Compound: SrSbC2N
Source: Alexandria via LeMat-Bulk
Functional: PBE
Structure: relaxed

Calculated values
The total energy is -3.057 eV per atom.

Cell: 4.782 4.782 6.759 Å, 90.00 90.00 90.00°
Space group P4/mmm (No. 123)
One atom of each set of equivalent atoms:
Sr1 0.000 0.000 0.000
Sb1 0.000 0.000 0.500
C1 0.000 0.500 0.000
N1 0.500 0.500 0.500

12.
Compound: Tc2SbCN
Source: Alexandria via LeMat-Bulk
Functional: PBE
Structure: relaxed

Calculated values
The total energy is -6.935 eV per atom.

Cell: 3.912 3.912 4.955 Å, 90.00 90.00 90.00°
Space group P4/mmm (No. 123)
One atom of each set of equivalent atoms:
Tc1 0.000 0.500 0.000
Sb1 0.000 0.000 0.500
C1 0.500 0.500 0.500
N1 0.000 0.000 0.000

Please write out number 3 again, unchanged.
Compound: SbCN3
Source: Alexandria via LeMat-Bulk
Functional: PBE
Structure: relaxed

Calculated values
The total energy is -5.459 eV per atom.

Cell: 3.484 3.484 3.484 Å, 90.00 90.00 90.00°
Space group Pm-3m (No. 221)
One atom of each set of equivalent atoms:
Sb1 0.000 0.000 0.000
C1 0.500 0.500 0.500
N1 0.000 0.500 0.500